# 1
The following is a DFT calculation (GGA-PBE) of crystalline TaCuB3 at its relaxed geometry.

```
data_TaCuB3
_chemical_formula_sum 'Ta1 Cu1 B3'
_space_group_name_H-M_alt 'P m -3 m'
_space_group_IT_number 221
_space_group_name_Hall '-P 4 2 3'
_cell_length_a 4.2471
_cell_length_b 4.2471
_cell_length_c 4.2471
_cell_angle_alpha 90.00
_cell_angle_beta 90.00
_cell_angle_gamma 90.00
loop_
_atom_site_label
_atom_site_type_symbol
_atom_site_fract_x
_atom_site_fract_y
_atom_site_fract_z
Ta1 Ta 0.0000 0.0000 0.0000
Cu1 Cu 0.5000 0.5000 0.5000
B1 B 0.0000 0.0000 0.5000
```

Output
Total moment: 0.00 μB/f.u.
Density of states at the Fermi level: 2.16 states/eV/cell
Volume: 15.322 Å³ per atom
ΔE_f: 1.674 eV per atom
Mass density: 6.00 g/cm³
Offset from the most stable computed form: 352 meV per atom

---

# 2
The following is a DFT calculation (GGA-PBE) of crystalline Ta3CuB at its relaxed geometry.

```
data_Ta3CuB
_chemical_formula_sum 'Ta3 Cu1 B1'
_space_group_name_H-M_alt 'P m -3 m'
_space_group_IT_number 221
_space_group_name_Hall '-P 4 2 3'
_cell_length_a 4.3122
_cell_length_b 4.3122
_cell_length_c 4.3122
_cell_angle_alpha 90.00
_cell_angle_beta 90.00
_cell_angle_gamma 90.00
loop_
_atom_site_label
_atom_site_type_symbol
_atom_site_fract_x
_atom_site_fract_y
_atom_site_fract_z
Ta1 Ta 0.0000 0.0000 0.5000
Cu1 Cu 0.5000 0.5000 0.5000
B1 B 0.0000 0.0000 0.0000
```

Output
Total moment: 0.00 μB/f.u.
Density of states at the Fermi level: 5.57 states/eV/cell
Volume: 16.037 Å³ per atom
ΔE_f: 0.135 eV per atom
Mass density: 12.78 g/cm³
Offset from the most stable computed form: 0 meV per atom

---

# 3
The following is a DFT calculation (GGA-PBE) of crystalline TaCuB3 at its relaxed geometry.

```
data_TaCuB3
_chemical_formula_sum 'Ta1 Cu1 B3'
_space_group_name_H-M_alt 'P m -3 m'
_space_group_IT_number 221
_space_group_name_Hall '-P 4 2 3'
_cell_length_a 3.7846
_cell_length_b 3.7846
_cell_length_c 3.7846
_cell_angle_alpha 90.00
_cell_angle_beta 90.00
_cell_angle_gamma 90.00
loop_
_atom_site_label
_atom_site_type_symbol
_atom_site_fract_x
_atom_site_fract_y
_atom_site_fract_z
Ta1 Ta 0.0000 0.0000 0.0000
Cu1 Cu 0.5000 0.5000 0.5000
B1 B 0.0000 0.5000 0.5000
```

Output
Total moment: 0.00 μB/f.u.
Density of states at the Fermi level: 2.77 states/eV/cell
Volume: 10.841 Å³ per atom
ΔE_f: 1.322 eV per atom
Mass density: 8.48 g/cm³
Offset from the most stable computed form: 0 meV per atom